Here is an optimized crystal structure of Sr3LiHo3S8 from Alexandria via LeMat-Bulk. Energies are from PBE.

Cell lengths 8.207, 8.207, 8.207 Å; angles 58.31, 58.31, 58.31 degrees
Atoms (fractional coordinates):
Sr (0.000, 0.500, 0.500)
Sr (0.500, 0.000, 0.500)
Sr (0.500, 0.500, 0.000)
Li (0.500, 0.500, 0.500)
Ho (0.000, 0.000, 0.500)
Ho (0.000, 0.500, 0.000)
Ho (0.500, 0.000, 0.000)
S (0.237, 0.741, 0.741)
S (0.243, 0.243, 0.243)
S (0.259, 0.259, 0.763)
S (0.259, 0.763, 0.259)
S (0.741, 0.237, 0.741)
S (0.741, 0.741, 0.237)
S (0.757, 0.757, 0.757)
S (0.763, 0.259, 0.259)

**V**: 375.74 Å³ per cell
**Raw formation energy**: -45.36 kcal/mol of atoms
**Raw total energy**: -5.548 eV per atom

***

Here is an optimized crystal structure of SrCeEr2 from Alexandria via LeMat-Bulk. Energies are from PBE.

Cell lengths 3.649, 3.649, 10.335 Å; angles 90.00, 90.00, 90.00 degrees
Atoms (fractional coordinates):
Sr (0.000, 0.000, 0.000)
Ce (0.000, 0.000, 0.500)
Er (0.500, 0.500, 0.287)
Er (0.500, 0.500, 0.713)

**V**: 137.59 Å³ per cell
**E_form**: 0.152 eV/atom
**Raw total energy**: -4.033 eV per atom

***

Here is an optimized crystal structure of BeZnPb2 from Alexandria via LeMat-Bulk. Energies are from PBE.

Cell lengths 4.167, 4.141, 5.531 Å; angles 90.00, 111.89, 90.00 degrees
Atoms (fractional coordinates):
Be (0.000, 0.000, 0.000)
Zn (0.123, 0.500, 0.232)
Pb (0.419, 0.500, 0.822)
Pb (0.711, 0.000, 0.415)

**V**: 88.55 Å³ per cell
**E_form**: 0.328 eV/atom
**Raw total energy**: -2.776 eV per atom